# 1
This record from Alexandria describes crystalline Ac4SnPS2 at its relaxed geometry. The functional is GGA-PBE.

a = 4.514 Å, b = 7.715 Å, c = 7.837 Å
α = 70.14°, β = 90.00°, γ = 90.00°
Element x y z (fractional)
1 Ac 0.500 0.749 0.259
2 Ac 0.500 0.251 0.741
3 Ac 0.000 0.243 0.262
4 S 0.000 0.000 0.000
5 Ac 0.000 0.757 0.738
6 S 0.500 0.000 0.500
7 Sn 0.500 0.500 0.000
8 P 0.000 0.500 0.500

Calculated values
- raw total energy (eV/atom) = -5.79
- energy relative to the elements, uncorrected (meV/atom) = -1525
- crystal system = monoclinic
- theoretical density (g/cm3) = 7.26

# 2
This record from Alexandria describes crystalline Zn2CdPd at its relaxed geometry. The functional is GGA-PBE.

a = 4.246 Å, b = 4.246 Å, c = 5.309 Å
α = 66.43°, β = 66.43°, γ = 60.00°
Element x y z (fractional)
1 Cd 0.487 0.487 0.538
2 Zn 0.058 0.058 0.825
3 Zn 0.272 0.272 0.184
4 Pd 0.682 0.682 0.953

Calculated values
- raw total energy (eV/atom) = -2.33
- crystal system = trigonal
- theoretical density (g/cm3) = 7.90
- DFT formation energy (eV/f.u.) = -0.7

# 3
This record from Alexandria describes crystalline Pm2Sn4Ir5 at its relaxed geometry. The functional is GGA-PBE.

a = 5.816 Å, b = 5.762 Å, c = 8.716 Å
α = 80.31°, β = 70.51°, γ = 59.69°
Element x y z (fractional)
1 Ir 0.000 0.500 0.000
2 Ir 0.750 0.500 0.500
3 Ir 0.500 0.000 0.000
4 Sn 0.531 0.679 0.260
5 Sn 0.469 0.321 0.740
6 Pm 0.110 0.000 0.780
7 Sn 0.791 0.679 0.740
8 Pm 0.890 0.000 0.220
9 Ir 0.250 0.500 0.500
10 Ir 0.500 0.500 0.000
11 Sn 0.209 0.321 0.260

Calculated values
- raw total energy (eV/atom) = -6.74
- crystal system = orthorhombic
- theoretical density (g/cm3) = 12.06
- DFT formation energy (eV/f.u.) = -4.3

# 4
This record from Alexandria describes crystalline Pr2SmV at its relaxed geometry. The functional is GGA-PBE.

a = 3.473 Å, b = 3.473 Å, c = 12.003 Å
α = 81.68°, β = 81.68°, γ = 60.00°
Element x y z (fractional)
1 Pr 0.080 0.080 0.759
2 Sm 0.500 0.500 0.500
3 Pr 0.920 0.920 0.241
4 V 0.000 0.000 0.000

Calculated values
- raw total energy (eV/atom) = -5.21
- crystal system = trigonal
- theoretical density (g/cm3) = 6.49
- DFT formation energy (eV/f.u.) = 2.6

# 5
This record from Alexandria describes crystalline ThPdO at its relaxed geometry. The functional is GGA-PBE.

a = 3.893 Å, b = 4.054 Å, c = 9.536 Å
α = 90.00°, β = 90.00°, γ = 118.69°
Element x y z (fractional)
1 O 0.285 0.570 0.250
2 Pd 0.420 0.841 0.000
3 Th 0.628 0.256 0.750
4 Th 0.628 0.256 0.250
5 Pd 0.420 0.841 0.500
6 O 0.285 0.570 0.750

Calculated values
- raw total energy (eV/atom) = -7.53
- energy relative to the elements, uncorrected (meV/atom) = -1674
- crystal system = orthorhombic
- theoretical density (g/cm3) = 8.92

# 6
This record from Alexandria describes crystalline NdInCuPt at its relaxed geometry. The functional is GGA-PBE.

a = 4.880 Å, b = 4.880 Å, c = 4.880 Å
α = 60.00°, β = 60.00°, γ = 60.00°
Element x y z (fractional)
1 Nd 0.500 0.500 0.500
2 In 0.000 0.000 0.000
3 Cu 0.250 0.250 0.250
4 Pt 0.750 0.750 0.750

Calculated values
- raw total energy (eV/atom) = -4.96
- crystal system = cubic
- theoretical density (g/cm3) = 10.46
- DFT formation energy (eV/f.u.) = -2.2

# 7
This record from Alexandria describes crystalline HoFeP2Rh5 at its relaxed geometry. The functional is GGA-PBE.

a = 4.352 Å, b = 4.352 Å, c = 9.172 Å
α = 90.00°, β = 90.00°, γ = 90.00°
Element x y z (fractional)
1 P 0.000 0.000 0.764
2 Rh 0.500 0.000 0.284
3 P 0.000 0.000 0.236
4 Ho 0.500 0.500 0.500
5 Rh 0.000 0.500 0.716
6 Fe 0.000 0.000 0.000
7 Rh 0.000 0.500 0.284
8 Rh 0.000 0.000 0.500
9 Rh 0.500 0.000 0.716

Calculated values
- raw total energy (eV/atom) = -7.00
- crystal system = tetragonal
- theoretical density (g/cm3) = 7.62
- DFT formation energy (eV/f.u.) = -2.4

# 8
This record from Alexandria describes crystalline K2Ag2Sb at its relaxed geometry. The functional is GGA-PBE.

a = 7.461 Å, b = 7.461 Å, c = 5.459 Å
α = 90.00°, β = 90.00°, γ = 90.00°
Element x y z (fractional)
1 Ag 0.134 0.366 0.000
2 K 0.183 0.683 0.500
3 Ag 0.866 0.634 0.000
4 K 0.683 0.817 0.500
5 Ag 0.366 0.866 0.000
6 K 0.317 0.183 0.500
7 Ag 0.634 0.134 0.000
8 Sb 0.500 0.500 0.000
9 Sb 0.000 0.000 0.000
10 K 0.817 0.317 0.500

Calculated values
- raw total energy (eV/atom) = -2.54
- energy relative to the elements, uncorrected (meV/atom) = -132
- excess energy over the best structure of this formula in the dataset (eV/atom) = 0.000
- crystal system = tetragonal
- theoretical density (g/cm3) = 4.54

# 9
This record from Alexandria describes crystalline PrNdAlZn at its relaxed geometry. The functional is GGA-PBE.

a = 5.278 Å, b = 5.278 Å, c = 5.278 Å
α = 60.00°, β = 60.00°, γ = 60.00°
Element x y z (fractional)
1 Pr 0.750 0.750 0.750
2 Al 0.500 0.500 0.500
3 Zn 0.000 0.000 0.000
4 Nd 0.250 0.250 0.250

Calculated values
- raw total energy (eV/atom) = -3.96
- excess energy over the best structure of this formula in the dataset (eV/atom) = 0.003
- crystal system = cubic
- theoretical density (g/cm3) = 6.03
- DFT formation energy (eV/f.u.) = -1.3

# 10
This record from Alexandria describes crystalline In3Se2 at its relaxed geometry. The functional is GGA-PBE.

a = 9.710 Å, b = 9.710 Å, c = 9.710 Å
α = 24.65°, β = 24.65°, γ = 24.65°
Element x y z (fractional)
1 In 0.206 0.206 0.206
2 Se 0.407 0.407 0.407
3 In 0.000 0.000 0.000
4 In 0.794 0.794 0.794
5 Se 0.593 0.593 0.593

Calculated values
- raw total energy (eV/atom) = -3.42
- energy relative to the elements, uncorrected (meV/atom) = -381
- excess energy over the best structure of this formula in the dataset (eV/atom) = 0.000
- crystal system = trigonal
- theoretical density (g/cm3) = 5.96

# 11
This record from Alexandria describes crystalline InReAgO5 at its relaxed geometry. The functional is GGA-PBE.

a = 6.204 Å, b = 6.204 Å, c = 7.746 Å
α = 102.40°, β = 102.40°, γ = 106.32°
Element x y z (fractional)
1 O 0.076 0.924 0.250
2 Ag 0.301 0.699 0.250
3 O 0.669 0.099 0.360
4 Ag 0.699 0.301 0.750
5 O 0.596 0.738 0.920
6 O 0.738 0.596 0.420
7 Re 0.326 0.674 0.750
8 O 0.901 0.331 0.140
9 O 0.331 0.901 0.640
10 O 0.924 0.076 0.750
11 O 0.262 0.404 0.580
12 Re 0.674 0.326 0.250
13 O 0.404 0.262 0.080
14 O 0.099 0.669 0.860
15 In 0.000 0.000 0.500
16 In 0.000 0.000 0.000

Calculated values
- raw total energy (eV/atom) = -6.48
- energy relative to the elements, uncorrected (meV/atom) = -1129
- crystal system = monoclinic
- theoretical density (g/cm3) = 6.08

# 12
This record from Alexandria describes crystalline ZnCoPtC2 at its relaxed geometry. The functional is GGA-PBE.

a = 3.830 Å, b = 4.595 Å, c = 3.830 Å
α = 90.00°, β = 90.00°, γ = 90.00°
Element x y z (fractional)
1 C 0.000 0.000 0.500
2 Pt 0.500 0.500 0.500
3 C 0.500 0.000 0.000
4 Co 0.000 0.500 0.000
5 Zn 0.000 0.000 0.000

Calculated values
- raw total energy (eV/atom) = -4.23
- crystal system = tetragonal
- theoretical density (g/cm3) = 8.46
- DFT formation energy (eV/f.u.) = 11.7

# 13
This record from Alexandria describes crystalline Dy2TmTh at its relaxed geometry. The functional is GGA-PBE.

a = 3.554 Å, b = 3.554 Å, c = 11.674 Å
α = 81.24°, β = 81.24°, γ = 60.00°
Element x y z (fractional)
1 Th 0.000 0.000 0.000
2 Dy 0.749 0.749 0.752
3 Tm 0.500 0.500 0.500
4 Dy 0.251 0.251 0.248

Calculated values
- raw total energy (eV/atom) = -5.25
- excess energy over the best structure of this formula in the dataset (eV/atom) = 0.001
- crystal system = trigonal
- theoretical density (g/cm3) = 9.59
- DFT formation energy (eV/f.u.) = 0.1

# 14
This record from Alexandria describes crystalline RbVRhSe3 at its relaxed geometry. The functional is GGA-PBE.

a = 3.777 Å, b = 8.610 Å, c = 10.378 Å
α = 118.87°, β = 90.00°, γ = 90.00°
Element x y z (fractional)
1 Rb 0.750 0.744 0.747
2 Se 0.250 0.811 0.494
3 Rh 0.750 0.312 0.873
4 Rb 0.250 0.256 0.253
5 Rh 0.250 0.688 0.127
6 Se 0.250 0.473 0.830
7 Se 0.750 0.876 0.125
8 Se 0.250 0.124 0.875
9 V 0.750 0.860 0.355
10 V 0.250 0.140 0.645
11 Se 0.750 0.527 0.170
12 Se 0.750 0.189 0.506

Calculated values
- raw total energy (eV/atom) = -5.38
- energy relative to the elements, uncorrected (meV/atom) = -733
- crystal system = monoclinic
- theoretical density (g/cm3) = 5.35

# 15
This record from Alexandria describes crystalline K2SbW at its relaxed geometry. The functional is GGA-PBE.

a = 12.315 Å, b = 12.315 Å, c = 12.315 Å
α = 14.69°, β = 14.69°, γ = 14.69°
Element x y z (fractional)
1 K 0.000 0.000 0.000
2 K 0.500 0.500 0.500
3 W 0.750 0.750 0.750
4 Sb 0.250 0.250 0.250

Calculated values
- raw total energy (eV/atom) = -3.76
- energy relative to the elements, uncorrected (meV/atom) = 1057
- crystal system = trigonal
- theoretical density (g/cm3) = 6.09

# 16
This record from Alexandria describes crystalline Gd3In5O12 at its relaxed geometry. The functional is GGA-PBE.

a = 11.458 Å, b = 11.458 Å, c = 11.458 Å
α = 109.47°, β = 109.47°, γ = 109.47°
Element x y z (fractional)
1 O 0.715 0.132 0.042
2 Gd 0.875 0.750 0.125
3 O 0.084 0.910 0.368
4 In 0.000 0.500 0.500
5 In 0.375 0.250 0.125
6 Gd 0.250 0.125 0.375
7 O 0.542 0.327 0.910
8 O 0.285 0.868 0.958
9 In 0.500 0.500 0.500
10 In 0.625 0.875 0.250
11 O 0.042 0.632 0.715
12 In 0.000 0.500 0.000
13 O 0.090 0.916 0.132
14 O 0.368 0.958 0.785
15 O 0.368 0.410 0.084
16 O 0.785 0.458 0.368
17 O 0.590 0.632 0.416
18 O 0.084 0.173 0.215
19 O 0.584 0.715 0.673
20 Gd 0.625 0.250 0.375
21 In 0.750 0.625 0.375
22 Gd 0.375 0.625 0.250
23 Gd 0.125 0.250 0.875
24 In 0.125 0.750 0.375
25 Gd 0.250 0.625 0.875
26 In 0.250 0.875 0.125
27 O 0.410 0.368 0.584
28 O 0.090 0.173 0.458
29 Gd 0.750 0.875 0.625
30 In 0.875 0.625 0.750
31 O 0.958 0.368 0.285
32 O 0.458 0.785 0.868
33 O 0.327 0.785 0.416
34 O 0.827 0.916 0.285
35 In 0.375 0.125 0.750
36 Gd 0.625 0.375 0.750
37 O 0.327 0.542 0.410
38 O 0.542 0.215 0.132
39 O 0.173 0.084 0.715
40 O 0.285 0.416 0.827
41 O 0.590 0.958 0.673
42 In 0.000 0.000 0.500
43 In 0.500 0.500 0.000
44 O 0.827 0.910 0.042
45 O 0.173 0.090 0.958
46 O 0.584 0.868 0.410
47 In 0.500 0.000 0.500
48 O 0.715 0.584 0.173
49 O 0.673 0.215 0.584
50 Gd 0.750 0.375 0.125
51 O 0.215 0.673 0.084
52 O 0.916 0.827 0.785
53 O 0.958 0.590 0.173
54 Gd 0.875 0.125 0.250
55 O 0.416 0.285 0.327
56 In 0.625 0.750 0.875
57 Gd 0.125 0.875 0.750
58 In 0.500 0.000 0.000
59 O 0.416 0.132 0.590
60 O 0.916 0.090 0.632
61 In 0.250 0.375 0.625
62 O 0.910 0.084 0.868
63 O 0.910 0.827 0.542
64 O 0.632 0.590 0.916
65 O 0.042 0.410 0.827
66 O 0.673 0.458 0.590
67 O 0.868 0.584 0.910
68 In 0.000 0.000 0.000
69 In 0.875 0.250 0.625
70 In 0.750 0.125 0.875
71 O 0.632 0.042 0.215
72 O 0.458 0.673 0.090
73 O 0.132 0.715 0.542
74 Gd 0.375 0.750 0.625
75 O 0.132 0.416 0.090
76 O 0.410 0.042 0.327
77 O 0.868 0.285 0.458
78 In 0.125 0.375 0.250
79 O 0.785 0.327 0.916
80 O 0.215 0.542 0.632

Calculated values
- raw total energy (eV/atom) = -7.98
- energy relative to the elements, uncorrected (meV/atom) = -2211
- crystal system = cubic
- theoretical density (g/cm3) = 7.10

# 17
This record from Alexandria describes crystalline Sm6Pd2O at its relaxed geometry. The functional is GGA-PBE.

a = 6.539 Å, b = 7.165 Å, c = 9.930 Å
α = 90.00°, β = 89.21°, γ = 90.00°
Element x y z (fractional)
1 Sm 0.130 0.027 0.258
2 O 0.000 0.000 0.500
3 Sm 0.830 0.688 0.441
4 O 0.500 0.500 0.000
5 Sm 0.630 0.473 0.758
6 Sm 0.818 0.676 0.058
7 Sm 0.170 0.312 0.559
8 Sm 0.870 0.973 0.742
9 Sm 0.670 0.188 0.059
10 Pd 0.939 0.395 0.250
11 Sm 0.330 0.812 0.941
12 Sm 0.370 0.527 0.242
13 Sm 0.182 0.324 0.942
14 Sm 0.318 0.824 0.558
15 Pd 0.561 0.895 0.250
16 Pd 0.439 0.105 0.750
17 Sm 0.682 0.176 0.442
18 Pd 0.061 0.605 0.750

Calculated values
- raw total energy (eV/atom) = -5.84
- energy relative to the elements, uncorrected (meV/atom) = -991
- crystal system = monoclinic
- theoretical density (g/cm3) = 8.07

# 18
This record from Alexandria describes crystalline CeZn9Pt2 at its relaxed geometry. The functional is GGA-PBE.

a = 6.926 Å, b = 8.282 Å, c = 8.282 Å
α = 79.93°, β = 65.29°, γ = 65.29°
Element x y z (fractional)
1 Zn 0.076 0.915 0.328
2 Ce 0.500 0.000 0.000
3 Zn 0.009 0.915 0.672
4 Zn 0.154 0.415 0.172
5 Pt 0.875 0.250 0.250
6 Zn 0.674 0.585 0.172
7 Zn 0.674 0.172 0.585
8 Zn 0.750 0.500 0.500
9 Zn 0.000 0.000 0.000
10 Zn 0.741 0.585 0.828
11 Zn 0.154 0.172 0.415
12 Pt 0.375 0.750 0.750
13 Zn 0.596 0.085 0.328
14 Zn 0.319 0.085 0.672
15 Zn 0.076 0.328 0.915
16 Pt 0.875 0.250 0.750
17 Zn 0.009 0.672 0.915
18 Zn 0.431 0.415 0.828
19 Zn 0.596 0.328 0.085
20 Zn 0.741 0.828 0.585
21 Zn 0.431 0.828 0.415
22 Zn 0.319 0.672 0.085
23 Pt 0.875 0.750 0.250
24 Ce 0.250 0.500 0.500

Calculated values
- raw total energy (eV/atom) = -2.86
- excess energy over the best structure of this formula in the dataset (eV/atom) = 0.000
- crystal system = tetragonal
- theoretical density (g/cm3) = 9.48
- DFT formation energy (eV/f.u.) = -4.9

# 19
This record from Alexandria describes crystalline Ce4N3 at its relaxed geometry. The functional is GGA-PBE.

a = 5.008 Å, b = 5.008 Å, c = 5.008 Å
α = 90.00°, β = 90.00°, γ = 90.00°
Element x y z (fractional)
1 Ce 0.500 0.500 0.000
2 Ce 0.000 0.500 0.500
3 N 0.500 0.000 0.000
4 N 0.000 0.500 0.000
5 Ce 0.500 0.000 0.500
6 Ce 0.000 0.000 0.000
7 N 0.000 0.000 0.500

Calculated values
- raw total energy (eV/atom) = -8.20
- energy relative to the elements, uncorrected (meV/atom) = -1239
- crystal system = cubic
- theoretical density (g/cm3) = 7.96

# 20
This record from Alexandria describes crystalline Ba4Ag5Au2 at its relaxed geometry. The functional is GGA-PBE.

a = 4.599 Å, b = 8.053 Å, c = 9.377 Å
α = 87.85°, β = 90.00°, γ = 90.00°
Element x y z (fractional)
1 Ag 0.000 0.130 0.114
2 Ag 0.000 0.500 0.000
3 Au 0.000 0.078 0.633
4 Ba 0.500 0.227 0.860
5 Ag 0.000 0.870 0.886
6 Ag 0.000 0.570 0.358
7 Ba 0.500 0.248 0.378
8 Ag 0.000 0.430 0.642
9 Ba 0.500 0.773 0.140
10 Au 0.000 0.922 0.367
11 Ba 0.500 0.752 0.622

Calculated values
- raw total energy (eV/atom) = -2.96
- crystal system = monoclinic
- theoretical density (g/cm3) = 7.09
- DFT formation energy (eV/f.u.) = -4.1